Record 1
# YWBr (GGA-PBE, optimized geometry)
# - formation energy from raw total energies (eV/atom) = 0.5690
# - size of the total moment (μB per cell) = 0.00
# - E above lowest polymorph (meV/atom) = 111
data_YWBr
_chemical_formula_sum 'Y1 W1 Br1'
_space_group_name_H-M_alt 'P -6 m 2'
_space_group_IT_number 187
_space_group_name_Hall 'P -6 2'
_cell_length_a 4.8234
_cell_length_b 4.8234
_cell_length_c 3.1356
_cell_angle_alpha 90.00
_cell_angle_beta 90.00
_cell_angle_gamma 120.00
loop_
_atom_site_label
_atom_site_type_symbol
_atom_site_fract_x
_atom_site_fract_y
_atom_site_fract_z
Y1 Y 0.0000 0.0000 0.0000
W1 W 0.6667 0.3333 0.5000
Br1 Br 0.3333 0.6667 0.5000



Record 2
# YWBr2 (GGA-PBE, optimized geometry)
# - formation energy from raw total energies (eV/atom) = -0.0929
# - size of the total moment (μB per cell) = 0.08
# - E above lowest polymorph (meV/atom) = 45
data_YWBr2
_chemical_formula_sum 'Y1 W1 Br2'
_space_group_name_H-M_alt 'P 1 m 1'
_space_group_IT_number 6
_cell_length_a 4.3133
_cell_length_b 3.3180
_cell_length_c 8.0384
_cell_angle_alpha 90.00
_cell_angle_beta 105.36
_cell_angle_gamma 90.00
loop_
_space_group_symop_operation_xyz
'x,y,z'
'x,-y,z'
loop_
_atom_site_label
_atom_site_type_symbol
_atom_site_fract_x
_atom_site_fract_y
_atom_site_fract_z
Y1 Y 0.0000 0.0000 0.0000
W1 W 0.5894 0.5000 0.1811
Br1 Br 0.4156 0.5000 0.8291
Br2 Br 0.7143 0.0000 0.4353



Record 3
# YWBr (GGA-PBE, optimized geometry)
# - formation energy from raw total energies (eV/atom) = 1.0836
# - size of the total moment (μB per cell) = 5.28
# - E above lowest polymorph (meV/atom) = 626
data_YWBr
_chemical_formula_sum 'Y4 W4 Br4'
_space_group_name_H-M_alt 'F -4 3 m'
_space_group_IT_number 216
_space_group_name_Hall 'F -4 2 3'
_cell_length_a 6.5555
_cell_length_b 6.5555
_cell_length_c 6.5555
_cell_angle_alpha 90.00
_cell_angle_beta 90.00
_cell_angle_gamma 90.00
loop_
_atom_site_label
_atom_site_type_symbol
_atom_site_fract_x
_atom_site_fract_y
_atom_site_fract_z
Y1 Y 0.0000 0.0000 0.0000
W1 W 0.0000 0.0000 0.5000
Br1 Br 0.2500 0.2500 0.7500



Record 4
# YW2Br (GGA-PBE, optimized geometry)
# - formation energy from raw total energies (eV/atom) = 0.3452
# - size of the total moment (μB per cell) = 0.00
# - E above lowest polymorph (meV/atom) = 261
data_YW2Br
_chemical_formula_sum 'Y2 W4 Br2'
_space_group_name_H-M_alt 'C 1 m 1'
_space_group_IT_number 8
_cell_length_a 7.9570
_cell_length_b 3.2507
_cell_length_c 7.8201
_cell_angle_alpha 90.00
_cell_angle_beta 110.43
_cell_angle_gamma 90.00
loop_
_space_group_symop_operation_xyz
'x,y,z'
'x,-y,z'
'x+1/2,y+1/2,z'
'x+1/2,-y+1/2,z'
loop_
_atom_site_label
_atom_site_type_symbol
_atom_site_fract_x
_atom_site_fract_y
_atom_site_fract_z
Y1 Y 0.0000 0.0000 0.0000
W1 W 0.0794 0.5000 0.3917
W2 W 0.3093 0.5000 0.2480
Br1 Br 0.1973 0.0000 0.6999



Record 5
# YWBr3 (GGA-PBE, optimized geometry)
# - formation energy from raw total energies (eV/atom) = 0.4566
# - size of the total moment (μB per cell) = 2.85
# - E above lowest polymorph (meV/atom) = 279
data_YWBr3
_chemical_formula_sum 'Y1 W1 Br3'
_space_group_name_H-M_alt 'P m -3 m'
_space_group_IT_number 221
_space_group_name_Hall '-P 4 2 3'
_cell_length_a 5.1684
_cell_length_b 5.1684
_cell_length_c 5.1684
_cell_angle_alpha 90.00
_cell_angle_beta 90.00
_cell_angle_gamma 90.00
loop_
_atom_site_label
_atom_site_type_symbol
_atom_site_fract_x
_atom_site_fract_y
_atom_site_fract_z
Y1 Y 0.0000 0.0000 0.0000
W1 W 0.5000 0.5000 0.5000
Br1 Br 0.0000 0.5000 0.5000



Record 6
# YW4Br (GGA-PBE, optimized geometry)
# - formation energy from raw total energies (eV/atom) = 0.7816
# - size of the total moment (μB per cell) = 0.00
data_YW4Br
_chemical_formula_sum 'Y4 W16 Br4'
_space_group_name_H-M_alt 'F -4 3 m'
_space_group_IT_number 216
_space_group_name_Hall 'F -4 2 3'
_cell_length_a 7.7637
_cell_length_b 7.7637
_cell_length_c 7.7637
_cell_angle_alpha 90.00
_cell_angle_beta 90.00
_cell_angle_gamma 90.00
loop_
_atom_site_label
_atom_site_type_symbol
_atom_site_fract_x
_atom_site_fract_y
_atom_site_fract_z
Y1 Y 0.0000 0.0000 0.0000
W1 W 0.1250 0.1250 0.3750
Br1 Br 0.2500 0.2500 0.7500